1.
DFT (PBE) results for a relaxed AcEr2Mg3 crystal. Values from VASP.

```
&SYSTEM
  ibrav = 0, nat = 6, ntyp = 3
/
ATOMIC_SPECIES
Mg 24.30 Mg.upf
Ac 227.00 Ac.upf
Er 167.26 Er.upf
ATOMIC_POSITIONS crystal
Mg 0.000 0.000 0.000
Mg 0.000 0.000 0.695
Ac 0.500 0.500 0.500
Mg 0.000 0.000 0.305
Er 0.500 0.500 0.155
Er 0.500 0.500 0.845
CELL_PARAMETERS angstrom
-2.992 2.410 -0.513
-0.988 -1.913 -3.223
-6.806 -7.110 6.304
```

Formation energy from the elements: -56 meV/atom
Total magnetic moment: 0.000 μB per atom

=====

2.
DFT (PBE) results for a relaxed HfAl5Pd4 crystal. Values from VASP.

```
&SYSTEM
  ibrav = 0, nat = 10, ntyp = 3
/
ATOMIC_SPECIES
Al 26.98 Al.upf
Pd 106.42 Pd.upf
Hf 178.49 Hf.upf
ATOMIC_POSITIONS crystal
Al 0.500 0.500 0.500
Al 0.500 0.500 0.876
Pd 0.000 0.000 0.217
Al 0.500 0.500 0.124
Al 0.500 0.500 0.688
Al 0.500 0.500 0.312
Pd 0.000 0.000 0.594
Pd 0.000 0.000 0.406
Hf 0.000 0.000 0.000
Pd 0.000 0.000 0.783
CELL_PARAMETERS angstrom
3.072 0.000 0.000
0.000 3.072 0.000
0.000 0.000 16.292
```

Formation energy from the elements: -783 meV/atom
Total magnetic moment: 0.000 μB per atom

=====

3.
DFT (PBE) results for a relaxed LaAg2Os crystal. Values from VASP.

```
&SYSTEM
  ibrav = 0, nat = 4, ntyp = 3
/
ATOMIC_SPECIES
La 138.91 La.upf
Os 190.23 Os.upf
Ag 107.87 Ag.upf
ATOMIC_POSITIONS crystal
La 0.000 0.000 0.000
Os 0.500 0.500 0.500
Ag 0.750 0.750 0.750
Ag 0.250 0.250 0.250
CELL_PARAMETERS angstrom
0.000 3.466 3.466
3.466 0.000 3.466
3.466 3.466 0.000
```

Polymorph energy (0 for the lowest one): 0.881 eV/f.u.
Formation energy from the elements: 433 meV/atom
Total magnetic moment: 0.000 μB per atom

=====

- What is the formation energy from the elements in the first record?
  -56 meV/atom

=====

- What is the formation energy from the elements in the first record?
  -56 meV/atom